A plane-wave DFT calculation with PBE-GGA was carried out for Li5Mg2In2Ag after structural relaxation.

The structure in POSCAR format:
```
Li5Mg2In2Ag
1.0
3.333 0.000 0.000
0.000 11.035 0.000
0.000 0.000 11.035
Li In Mg Ag
10 4 4 2
Cartesian
1.667 5.517 0.000
1.667 2.068 0.336
1.667 10.699 2.068
1.667 0.000 5.517
1.667 0.336 8.967
1.667 5.854 7.586
1.667 8.967 10.699
1.667 3.449 5.854
1.667 7.586 5.181
1.667 5.181 3.449
0.000 9.458 3.941
0.000 3.941 1.577
0.000 1.577 7.094
0.000 7.094 9.458
0.000 9.211 7.341
0.000 3.694 9.211
0.000 7.341 1.823
0.000 1.823 3.694
0.000 0.000 0.000
0.000 5.517 5.517
```

**N(E_F)**: 2.1 states/eV/f.u.
**VASP energy**: -2.23 eV/atom
**Crystal system**: tetragonal